SrMnTl2As after structural relaxation. Source: Alexandria via LeMat-Bulk, functional PBE.

Properties
- Formation energy from the elements: -94 meV/atom
- Space-group type: P4/mmm
- Crystal system: tetragonal
- E: -20.70 eV per cell

Unit cell a=5.2880 b=4.8697 c=5.2880 alpha=90.00 beta=90.00 gamma=90.00
With the nearest neighbours (Å) after each atom.
Atoms (fractional coordinates):
Tl 0.0000 0.0000 0.5000  2 Mn 2.64
As 0.0000 0.5000 0.0000  2 Mn 2.43
Mn 0.0000 0.0000 0.0000  2 As 2.43, 4 Tl 2.64
Sr 0.5000 0.5000 0.5000  8 Tl 3.59, 4 As 3.74
Tl 0.5000 0.0000 0.0000  2 Mn 2.64


Sr3U3MnAs8 after structural relaxation. Source: Alexandria via LeMat-Bulk, functional PBE.

Properties
- Formation energy from the elements: -670 meV/atom
- Space-group type: R-3m
- Crystal system: trigonal
- E: -95.33 eV per cell

Unit cell a=8.2094 b=8.2086 c=8.6525 alpha=118.31 beta=90.00 gamma=120.01
With the nearest neighbours (Å) after each atom.
Atoms (fractional coordinates):
Mn 0.0000 0.0000 0.5000  6 As 2.68
As 0.7495 0.9751 0.7007  1 Mn 2.68, 2 U 2.83
As 0.2256 0.4511 0.7006  1 Mn 2.68, 2 U 2.83
Sr 0.0000 0.5000 0.0000  6 As 3.12-3.17
As 0.2603 0.5206 0.2809  3 U 2.85, 3 Sr 3.12
U 0.0000 0.5000 0.5000  6 As 2.83-2.85
U 0.5000 0.0000 0.5000  6 As 2.83-2.85
As 0.7744 0.0249 0.2993  1 Mn 2.68, 2 U 2.83
As 0.7397 0.4794 0.7191  3 U 2.85, 3 Sr 3.12
As 0.2505 0.0249 0.2993  1 Mn 2.68, 2 U 2.83
As 0.2256 0.9751 0.7007  1 Mn 2.68, 2 U 2.83
As 0.7744 0.5489 0.2994  1 Mn 2.68, 2 U 2.83
Sr 0.0000 0.0000 0.0000  6 As 3.12-3.17
U 0.5000 0.5000 0.5000  6 As 2.83-2.85
Sr 0.5000 0.5000 0.0000  6 As 3.12-3.17


Ta2MnAs2 after structural relaxation. Source: Alexandria via LeMat-Bulk, functional PBE.

Properties
- Formation energy from the elements: -141 meV/atom
- Space-group type: P4/mbm
- Crystal system: tetragonal
- E: -85.76 eV per cell

Unit cell a=6.9935 b=6.9935 c=3.3979 alpha=90.00 beta=90.00 gamma=90.00
With the nearest neighbours (Å) after each atom.
Atoms (fractional coordinates):
Ta 0.1467 0.6467 0.5000  6 As 2.63-2.69, 1 Ta 2.90
Ta 0.3533 0.1467 0.5000  6 As 2.63-2.69, 1 Ta 2.90
Mn 0.0000 0.0000 0.0000  4 As 2.66
As 0.6508 0.1508 0.0000  6 Ta 2.63-2.69, 2 Mn 2.66
Ta 0.8533 0.3533 0.5000  6 As 2.63-2.69, 1 Ta 2.90
Mn 0.5000 0.5000 0.0000  4 As 2.66
As 0.3492 0.8492 0.0000  6 Ta 2.63-2.69, 2 Mn 2.66
Ta 0.6467 0.8533 0.5000  6 As 2.63-2.69, 1 Ta 2.90
As 0.8492 0.6508 0.0000  6 Ta 2.63-2.69, 2 Mn 2.66
As 0.1508 0.3492 0.0000  6 Ta 2.63-2.69, 2 Mn 2.66


TaMnAs2 after structural relaxation. Source: Alexandria via LeMat-Bulk, functional PBE.

Properties
- Formation energy from the elements: -179 meV/atom
- Space-group type: Cm
- Crystal system: monoclinic
- E: -31.04 eV per cell
- Energy above the most stable polymorph in this dataset: 67 meV/atom

Unit cell a=4.9632 b=4.9632 c=4.2437 alpha=83.15 beta=83.15 gamma=39.96
With the nearest neighbours (Å) after each atom.
Atoms (fractional coordinates):
Mn 0.4668 0.4668 0.6026  7 As 2.62-2.76, 2 Ta 2.69-2.70
As 0.7427 0.7427 0.6599  3 Mn 2.62-2.68, 4 Ta 2.73-2.76
Ta 0.2871 0.2871 0.1515  7 As 2.62-2.76, 2 Mn 2.69-2.70
As 0.0034 0.0034 0.0860  3 Ta 2.62-2.70, 4 Mn 2.72-2.76


Ta2MnAs after structural relaxation. Source: Alexandria via LeMat-Bulk, functional PBE.

Properties
- Formation energy from the elements: -128 meV/atom
- Space-group type: P4mm
- Crystal system: tetragonal
- E: -38.04 eV per cell

Unit cell a=3.3789 b=3.3789 c=5.7012 alpha=90.00 beta=90.00 gamma=90.00
With the nearest neighbours (Å) after each atom.
Atoms (fractional coordinates):
Mn 0.5000 0.5000 0.7510  6 Ta 2.73-2.93, 4 As 2.78
Ta 0.5000 0.5000 0.2644  4 As 2.74, 2 Mn 2.77-2.93, 4 Ta 2.88
Ta 0.0000 0.0000 0.9834  4 Mn 2.73, 2 As 2.75-2.95, 4 Ta 2.88
As 0.0000 0.0000 0.5012  6 Ta 2.74-2.95, 4 Mn 2.78


Ta3MnAs after structural relaxation. Source: Alexandria via LeMat-Bulk, functional PBE.

Properties
- Formation energy from the elements: 1331 meV/atom
- Space-group type: Pm-3m
- Crystal system: cubic
- E: -42.72 eV per cell
- Energy above the most stable polymorph in this dataset: 566 meV/atom

Unit cell a=4.6703 b=4.6703 c=4.6703 alpha=90.00 beta=90.00 gamma=90.00
With the nearest neighbours (Å) after each atom.
Atoms (fractional coordinates):
As 0.0000 0.0000 0.0000  6 Ta 2.34
Mn 0.5000 0.5000 0.5000  12 Ta 3.30
Ta 0.5000 0.0000 0.0000  2 As 2.34
Ta 0.0000 0.0000 0.5000  2 As 2.34
Ta 0.0000 0.5000 0.0000  2 As 2.34